First-principles (PBE) data for Ba2BeAsPd6 after structural relaxation, as listed in Alexandria via LeMat-Bulk.

a b c (Å): 11.155 6.438 6.896
angles (deg): 90.00 122.73 90.00
Space group C2/m (No. 12)
Unique sites:
1 Ba 0.218 0.000 0.154
2 Be 0.000 0.000 0.500
3 As 0.000 0.500 0.000
4 Pd 0.039 0.279 0.338
5 Pd 0.240 0.000 0.661

Properties
As for the total magnetic moment: 0.0 μB/cell. The value obtained for the energy of formation is -0.55 eV/atom. As for the theoretical density: 7.9 g/cm³. As for the density of states at the Fermi level: 0.5505 states/eV per atom. As for the uncorrected energy: -4.893 eV/atom.

***

First-principles (PBE) data for Ba2PmBe2As4 after structural relaxation, as listed in Alexandria via LeMat-Bulk.

a b c (Å): 15.619 4.168 7.486
angles (deg): 90.00 110.73 90.00
Space group C2/m (No. 12)
Unique sites:
1 Ba 0.140 0.000 0.080
2 Pm 0.000 0.000 0.500
3 Be 0.170 0.500 0.472
4 As 0.022 0.500 0.244
5 As 0.204 0.000 0.650

Properties
As for the total magnetic moment: 0.0 μB/cell. The value obtained for the energy of formation is -0.84 eV/atom. As for the theoretical density: 5.4 g/cm³. As for the density of states at the Fermi level: 0.4663 states/eV per atom. As for the uncorrected energy: -4.690 eV/atom.

***

First-principles (PBE) data for Ba2BeAsPt6 after structural relaxation, as listed in Alexandria via LeMat-Bulk.

a b c (Å): 5.825 6.684 6.851
angles (deg): 69.90 64.93 64.28
Space group P-1 (No. 2)
Unique sites:
1 Ba 0.244 0.321 0.193
2 Be 0.500 0.500 0.500
3 As 0.000 0.000 0.000
4 Pt 0.226 0.788 0.286
5 Pt 0.256 0.847 0.640
6 Pt 0.301 0.212 0.714

Properties
As for the total magnetic moment: 0.0 μB/cell. The value obtained for the energy of formation is -0.60 eV/atom. As for the theoretical density: 11.9 g/cm³. As for the density of states at the Fermi level: 0.3633 states/eV per atom. As for the uncorrected energy: -5.451 eV/atom.